(1)
The following is a DFT calculation (PBE) of a relaxed structure of RbBa3Ir.

a = 6.067 Å, b = 6.067 Å, c = 6.067 Å
α = 90.00°, β = 90.00°, γ = 90.00°
Fractional coordinates of all 5 atoms:
1 Rb 0.000 0.000 0.000
2 Ba 0.000 0.000 0.500
3 Ba 0.000 0.500 0.000
4 Ba 0.500 0.000 0.000
5 Ir 0.500 0.500 0.500

Summary:
Distance to the lowest polymorph of the same formula, meV per atom: 1582.3
E_form, eV/atom: 1.53
Density of states at the Fermi level, states/eV/f.u.: 10.13
Volume, Å³ per atom: 44.671


(2)
The following is a DFT calculation (PBE) of a relaxed structure of RbBaIr3.

a = 5.100 Å, b = 5.100 Å, c = 5.100 Å
α = 90.00°, β = 90.00°, γ = 90.00°
Fractional coordinates of all 5 atoms:
1 Rb 0.000 0.000 0.000
2 Ba 0.500 0.500 0.500
3 Ir 0.000 0.000 0.500
4 Ir 0.000 0.500 0.000
5 Ir 0.500 0.000 0.000

Summary:
Distance to the lowest polymorph of the same formula, meV per atom: 14.4
E_form, eV/atom: 2.28
Density of states at the Fermi level, states/eV/f.u.: 4.81
Volume, Å³ per atom: 26.530